First-principles (GGA-PBE) data for a geometry-optimized GeBiSe3 structure, as listed in Alexandria.

Properties
- size of the total moment (Bohr magnetons per cell) = 0.0
- D(E_F) (states/eV per cell) = 4.1
- V (Å³ per atom) = 32.6
- E above lowest polymorph (meV per atom) = 757
- formation energy from raw total energies (meV per atom) = 576

Cell: 5.465 5.465 5.465 Å, 90.00 90.00 90.00°
Space group Pm-3m (No. 221)
Unique sites:
Ge (0.000, 0.000, 0.000) [1 per cell]
Bi (0.500, 0.500, 0.500) [1 per cell]
Se (0.000, 0.500, 0.500) [3 per cell]